# SmRhC

A relaxed SmRhC crystal (PBE-GGA, Alexandria).

Unit cell a=4.6730 b=4.6730 c=5.6346 alpha=114.50 beta=114.50 gamma=90.00
Last column: nearest neighbours and their distance in Å.
Atoms (fractional coordinates):
C: 0.7726 0.7726 0.5453  1 Rh 1.94
C: 0.0226 0.5226 0.0453  1 Rh 1.94
Rh: 0.2347 0.7347 0.4694  1 C 1.94
Rh: 0.9847 0.9847 0.9694  1 C 1.94
Sm: 0.4927 0.4927 0.9853  3 C 2.35-2.56
Sm: 0.7427 0.2427 0.4853  3 C 2.35-2.56

Properties
- Space-group type: No. 109
- Relative energy among the computed polymorphs: 0.1483 eV/atom



# SmRh3C

A relaxed SmRh3C crystal (PBE-GGA, Alexandria).

Unit cell a=4.2173 b=4.2173 c=4.2173 alpha=90.00 beta=90.00 gamma=90.00
Last column: nearest neighbours and their distance in Å.
Atoms (fractional coordinates):
Sm: 0.0000 0.0000 0.0000  12 Rh 2.98
Rh: 0.0000 0.5000 0.5000  2 C 2.11
Rh: 0.5000 0.5000 0.0000  2 C 2.11
Rh: 0.5000 0.0000 0.5000  2 C 2.11
C: 0.5000 0.5000 0.5000  6 Rh 2.11

Properties
- Space-group type: No. 221



# Sm2Rh6C

A relaxed Sm2Rh6C crystal (PBE-GGA, Alexandria).

Unit cell a=5.8635 b=5.8635 c=5.8635 alpha=60.00 beta=60.00 gamma=60.00
Last column: nearest neighbours and their distance in Å.
Atoms (fractional coordinates):
Sm: 0.2500 0.2500 0.2500  12 Rh 2.93
Sm: 0.7500 0.7500 0.7500  12 Rh 2.93
Rh: 0.2527 0.7473 0.7473  1 C 2.10
Rh: 0.2527 0.7473 0.2527  1 C 2.10
Rh: 0.7473 0.2527 0.7473  1 C 2.10
Rh: 0.7473 0.2527 0.2527  1 C 2.10
Rh: 0.7473 0.7473 0.2527  1 C 2.10
Rh: 0.2527 0.2527 0.7473  1 C 2.10
C: 0.0000 0.0000 0.0000  6 Rh 2.10

Properties
- Space-group type: No. 225



Values for DOS(E_F), states/eV per cell, ordered as above
1.8, 1.2, 7.8
Values for E_tot, eV/f.u., ordered as above
-21.3, -38.2, -67.3
Values for spin magnetization, μB per atom, ordered as above
0.00, 0.00, 0.00